(1)
# SmPaPb6

A geometry-optimized SmPaPb6 structure (PBE, Alexandria via LeMat-Bulk).

Calculated values
Density of states at the Fermi level (states/eV per cell): 8.30
Magnetic moment (Bohr magnetons per cell): 0.418
ΔH_f (0 K) (meV per atom): -162

Lattice parameters (Å, degrees): 4.852 4.852 9.755 90.00 90.00 90.00
Element x y z (fractional)
Sm (0.000, 0.000, 0.000)
Pa (0.000, 0.000, 0.500)
Pb (0.000, 0.500, 0.253)
Pb (0.000, 0.500, 0.747)
Pb (0.500, 0.000, 0.253)
Pb (0.500, 0.000, 0.747)
Pb (0.500, 0.500, 0.000)
Pb (0.500, 0.500, 0.500)



(2)
# Be2InFe

A geometry-optimized Be2InFe structure (PBE, Alexandria via LeMat-Bulk).

Calculated values
Density of states at the Fermi level (states/eV per cell): 1.99
Magnetic moment (Bohr magnetons per cell): 2.086
ΔH_f (0 K) (meV per atom): 466

Lattice parameters (Å, degrees): 4.912 4.912 2.695 104.45 104.45 114.90
Element x y z (fractional)
Be (0.000, 0.500, 0.000)
Be (0.500, 0.000, 0.000)
In (0.000, 0.000, 0.500)
Fe (0.500, 0.500, 0.500)



(3)
# CsGaGe2

A geometry-optimized CsGaGe2 structure (PBE, Alexandria via LeMat-Bulk).

Calculated values
Density of states at the Fermi level (states/eV per cell): 1.24
Magnetic moment (Bohr magnetons per cell): 0.000
ΔH_f (0 K) (meV per atom): 41

Lattice parameters (Å, degrees): 7.674 7.674 7.674 33.02 33.02 33.02
Element x y z (fractional)
Cs (0.000, 0.000, 0.000)
Ga (0.500, 0.500, 0.500)
Ge (0.209, 0.209, 0.209)
Ge (0.791, 0.791, 0.791)



(4)
# Re2WCl

A geometry-optimized Re2WCl structure (PBE, Alexandria via LeMat-Bulk).

Calculated values
Distance to the lowest polymorph of the same formula (kJ/mol of atoms): 32.5
Raw formation energy (eV/atom): 0.7896
Density of states at the Fermi level (states/eV per cell): 3.60
Magnetic moment (Bohr magnetons per cell): 0.000

Lattice parameters (Å, degrees): 2.879 4.145 5.358 90.00 104.72 90.00
Element x y z (fractional)
Re (0.151, 0.000, 0.246)
Re (0.849, 0.000, 0.754)
W (0.500, 0.500, 0.000)
Cl (0.500, 0.500, 0.500)



(5)
# Sr4Sb2Au

A geometry-optimized Sr4Sb2Au structure (PBE, Alexandria via LeMat-Bulk).

Calculated values
Raw formation energy (eV/atom): -0.8975
Density of states at the Fermi level (states/eV per cell): 3.66
Magnetic moment (Bohr magnetons per cell): 0.000

Lattice parameters (Å, degrees): 9.715 9.715 9.715 33.33 33.33 33.33
Element x y z (fractional)
Sr (0.122, 0.122, 0.122)
Sr (0.371, 0.371, 0.371)
Sr (0.629, 0.629, 0.629)
Sr (0.878, 0.878, 0.878)
Sb (0.246, 0.246, 0.246)
Sb (0.754, 0.754, 0.754)
Au (0.000, 0.000, 0.000)



(6)
# SiPSeN2

A geometry-optimized SiPSeN2 structure (PBE, Alexandria via LeMat-Bulk).

Calculated values
Distance to the lowest polymorph of the same formula (kJ/mol of atoms): 0.0
Raw formation energy (eV/atom): 0.6699
Density of states at the Fermi level (states/eV per cell): 3.03
Magnetic moment (Bohr magnetons per cell): 0.271

Lattice parameters (Å, degrees): 3.447 3.447 7.616 90.00 90.00 90.00
Element x y z (fractional)
Si (0.000, 0.000, 0.000)
P (0.500, 0.500, 0.500)
Se (0.000, 0.000, 0.500)
N (0.000, 0.500, 0.000)
N (0.500, 0.000, 0.000)



(7)
# LaReW2

A geometry-optimized LaReW2 structure (PBE, Alexandria via LeMat-Bulk).

Calculated values
Distance to the lowest polymorph of the same formula (kJ/mol of atoms): 14.9
Density of states at the Fermi level (states/eV per cell): 3.98
Magnetic moment (Bohr magnetons per cell): 0.000
ΔH_f (0 K) (meV per atom): 586

Lattice parameters (Å, degrees): 2.902 4.236 6.722 90.00 101.25 90.00
Element x y z (fractional)
La (0.000, 0.000, 0.000)
Re (0.500, 0.000, 0.500)
W (0.240, 0.500, 0.679)
W (0.760, 0.500, 0.321)



(8)
# KVRe2

A geometry-optimized KVRe2 structure (PBE, Alexandria via LeMat-Bulk).

Calculated values
Distance to the lowest polymorph of the same formula (kJ/mol of atoms): 6.1
Density of states at the Fermi level (states/eV per cell): 9.45
Magnetic moment (Bohr magnetons per cell): 0.626
ΔH_f (0 K) (meV per atom): 1718

Lattice parameters (Å, degrees): 9.159 9.159 9.159 148.90 148.90 44.56
Element x y z (fractional)
K (0.000, 0.000, 0.000)
K (0.750, 0.250, 0.500)
V (0.250, 0.750, 0.500)
V (0.500, 0.500, 0.000)
Re (0.332, 0.125, 0.707)
Re (0.375, 0.668, 0.793)
Re (0.418, 0.625, 0.293)
Re (0.875, 0.582, 0.207)



(9)
# NaDyCl3

A geometry-optimized NaDyCl3 structure (PBE, Alexandria via LeMat-Bulk).

Calculated values
Raw formation energy (eV/atom): -1.7170
Density of states at the Fermi level (states/eV per cell): 3.20
Magnetic moment (Bohr magnetons per cell): 0.000

Lattice parameters (Å, degrees): 7.399 7.399 6.578 90.00 90.00 60.05
Element x y z (fractional)
Na (0.166, 0.166, 0.250)
Na (0.834, 0.834, 0.750)
Dy (0.500, 0.500, 0.000)
Dy (0.500, 0.500, 0.500)
Cl (0.165, 0.668, 0.250)
Cl (0.332, 0.835, 0.750)
Cl (0.333, 0.333, 0.750)
Cl (0.667, 0.667, 0.250)
Cl (0.668, 0.165, 0.250)
Cl (0.835, 0.332, 0.750)



(10)
# Tb6PrY3Tm2

A geometry-optimized Tb6PrY3Tm2 structure (PBE, Alexandria via LeMat-Bulk).

Calculated values
Density of states at the Fermi level (states/eV per cell): 15.96
Magnetic moment (Bohr magnetons per cell): 0.000
ΔH_f (0 K) (meV per atom): 19

Lattice parameters (Å, degrees): 6.169 6.169 11.820 94.96 94.96 119.96
Element x y z (fractional)
Tb (0.082, 0.417, 0.750)
Tb (0.249, 0.249, 0.250)
Tb (0.417, 0.082, 0.750)
Tb (0.583, 0.918, 0.250)
Tb (0.751, 0.751, 0.750)
Tb (0.918, 0.583, 0.250)
Pr (0.500, 0.500, 0.000)
Y (0.000, 0.000, 0.500)
Y (0.333, 0.667, 0.500)
Y (0.667, 0.333, 0.500)
Tm (0.167, 0.833, 0.000)
Tm (0.833, 0.167, 0.000)



(11)
# RuW2Au

A geometry-optimized RuW2Au structure (PBE, Alexandria via LeMat-Bulk).

Calculated values
Distance to the lowest polymorph of the same formula (kJ/mol of atoms): 0.0
Density of states at the Fermi level (states/eV per cell): 1.98
Magnetic moment (Bohr magnetons per cell): 0.000
ΔH_f (0 K) (meV per atom): 182

Lattice parameters (Å, degrees): 2.817 4.007 5.612 90.00 90.14 90.00
Element x y z (fractional)
Ru (0.000, 0.000, 0.000)
W (0.498, 0.500, 0.229)
W (0.502, 0.500, 0.771)
Au (0.000, 0.000, 0.500)



(12)
# Na2Pm3Sn3

A geometry-optimized Na2Pm3Sn3 structure (PBE, Alexandria via LeMat-Bulk).

Calculated values
Density of states at the Fermi level (states/eV per cell): 4.50
Magnetic moment (Bohr magnetons per cell): 0.000
ΔH_f (0 K) (meV per atom): -442

Lattice parameters (Å, degrees): 12.250 12.250 12.250 162.62 154.80 30.78
Element x y z (fractional)
Na (0.248, 0.248, 0.000)
Na (0.752, 0.752, 0.000)
Pm (0.113, 0.613, 0.500)
Pm (0.500, 0.500, 0.000)
Pm (0.887, 0.387, 0.500)
Sn (0.000, 0.000, 0.000)
Sn (0.361, 0.861, 0.500)
Sn (0.639, 0.139, 0.500)



(13)
# DyTiGa2

A geometry-optimized DyTiGa2 structure (PBE, Alexandria via LeMat-Bulk).

Calculated values
Distance to the lowest polymorph of the same formula (kJ/mol of atoms): 18.8
Density of states at the Fermi level (states/eV per cell): 3.03
Magnetic moment (Bohr magnetons per cell): 0.000
ΔH_f (0 K) (meV per atom): -239

Lattice parameters (Å, degrees): 8.365 8.365 8.365 23.76 23.76 23.76
Element x y z (fractional)
Dy (0.000, 0.000, 0.000)
Ti (0.500, 0.500, 0.500)
Ga (0.241, 0.241, 0.241)
Ga (0.759, 0.759, 0.759)



(14)
# Th2PaSi3Ir4

A geometry-optimized Th2PaSi3Ir4 structure (PBE, Alexandria via LeMat-Bulk).

Calculated values
Raw formation energy (eV/atom): -0.9592
Density of states at the Fermi level (states/eV per cell): 6.87
Magnetic moment (Bohr magnetons per cell): 0.000

Lattice parameters (Å, degrees): 4.188 4.188 10.951 90.00 90.00 90.00
Element x y z (fractional)
Th (0.000, 0.500, 0.229)
Th (0.500, 0.000, 0.771)
Pa (0.000, 0.000, 0.500)
Si (0.000, 0.500, 0.880)
Si (0.500, 0.000, 0.120)
Si (0.500, 0.500, 0.500)
Ir (0.000, 0.000, 0.000)
Ir (0.000, 0.500, 0.659)
Ir (0.500, 0.000, 0.341)
Ir (0.500, 0.500, 0.000)



(15)
# ZnGaRh2

A geometry-optimized ZnGaRh2 structure (PBE, Alexandria via LeMat-Bulk).

Calculated values
Distance to the lowest polymorph of the same formula (kJ/mol of atoms): 61.8
Density of states at the Fermi level (states/eV per cell): 8.11
Magnetic moment (Bohr magnetons per cell): 0.000
ΔH_f (0 K) (meV per atom): 23

Lattice parameters (Å, degrees): 8.988 8.988 8.988 155.16 155.16 35.42
Element x y z (fractional)
Zn (0.000, 0.000, 0.000)
Zn (0.750, 0.250, 0.500)
Ga (0.250, 0.750, 0.500)
Ga (0.500, 0.500, 0.000)
Rh (0.117, 0.625, 0.992)
Rh (0.375, 0.367, 0.492)
Rh (0.633, 0.125, 0.008)
Rh (0.875, 0.883, 0.508)



(16)
# SmErHf

A geometry-optimized SmErHf structure (PBE, Alexandria via LeMat-Bulk).

Calculated values
Distance to the lowest polymorph of the same formula (kJ/mol of atoms): 15.4
Density of states at the Fermi level (states/eV per cell): 7.61
Magnetic moment (Bohr magnetons per cell): 0.000
ΔH_f (0 K) (meV per atom): 289

Lattice parameters (Å, degrees): 5.551 5.551 10.184 90.64 90.64 34.35
Element x y z (fractional)
Sm (0.137, 0.137, 0.097)
Sm (0.863, 0.863, 0.903)
Er (0.132, 0.132, 0.728)
Er (0.868, 0.868, 0.272)
Hf (0.153, 0.153, 0.423)
Hf (0.847, 0.847, 0.577)



(17)
# TiCdAg2

A geometry-optimized TiCdAg2 structure (PBE, Alexandria via LeMat-Bulk).

Calculated values
Density of states at the Fermi level (states/eV per cell): 4.96
Magnetic moment (Bohr magnetons per cell): 1.963
ΔH_f (0 K) (meV per atom): 143

Lattice parameters (Å, degrees): 4.310 4.310 4.051 90.00 90.00 90.00
Element x y z (fractional)
Ti (0.000, 0.000, 0.000)
Cd (0.500, 0.500, 0.000)
Ag (0.000, 0.500, 0.500)
Ag (0.500, 0.000, 0.500)



(18)
# ScHgIr2

A geometry-optimized ScHgIr2 structure (PBE, Alexandria via LeMat-Bulk).

Calculated values
Density of states at the Fermi level (states/eV per cell): 2.54
Magnetic moment (Bohr magnetons per cell): 0.000
ΔH_f (0 K) (meV per atom): -109

Lattice parameters (Å, degrees): 5.488 5.488 5.488 147.91 127.50 62.88
Element x y z (fractional)
Sc (0.000, 0.000, 0.000)
Hg (0.500, 0.500, 0.000)
Ir (0.236, 0.736, 0.500)
Ir (0.764, 0.264, 0.500)



(19)
# CaTb2SmY4

A geometry-optimized CaTb2SmY4 structure (PBE, Alexandria via LeMat-Bulk).

Calculated values
Density of states at the Fermi level (states/eV per cell): 34.44
Magnetic moment (Bohr magnetons per cell): 5.427
ΔH_f (0 K) (meV per atom): 432

Lattice parameters (Å, degrees): 9.638 9.638 9.638 138.29 103.03 91.61
Element x y z (fractional)
Ca (0.500, 0.000, 0.000)
Ca (0.500, 0.500, 0.500)
Tb (0.000, 0.000, 0.000)
Tb (0.000, 0.000, 0.500)
Tb (0.000, 0.500, 0.000)
Tb (0.500, 0.000, 0.500)
Sm (0.000, 0.500, 0.500)
Sm (0.500, 0.500, 0.000)
Y (0.234, 0.249, 0.985)
Y (0.236, 0.751, 0.485)
Y (0.247, 0.246, 0.499)
Y (0.247, 0.747, 0.001)
Y (0.753, 0.253, 0.999)
Y (0.753, 0.754, 0.501)
Y (0.764, 0.249, 0.515)
Y (0.766, 0.751, 0.015)



(20)
# TiAlB3

A geometry-optimized TiAlB3 structure (PBE, Alexandria via LeMat-Bulk).

Calculated values
Distance to the lowest polymorph of the same formula (kJ/mol of atoms): 4.7
Density of states at the Fermi level (states/eV per cell): 1.58
Magnetic moment (Bohr magnetons per cell): 0.000
ΔH_f (0 K) (meV per atom): 1455

Lattice parameters (Å, degrees): 4.067 4.067 4.067 90.00 90.00 90.00
Element x y z (fractional)
Ti (0.000, 0.000, 0.000)
Al (0.500, 0.500, 0.500)
B (0.000, 0.000, 0.500)
B (0.000, 0.500, 0.000)
B (0.500, 0.000, 0.000)